VASP calculation (PBE-GGA) on an optimized crystal structure of Sr8Ge2O.

Output
**Formation energy from raw total energies**: -0.53 eV/atom
**Space-group type**: C2/m, No. 12
**Uncorrected energy**: -33.47 eV per formula unit

Cell lengths 12.2691, 12.2691, 6.8763 Å; angles 103.18, 103.18, 26.32 degrees
Closest atoms and distances in Å follow each position.
Element x y z (fractional)
Sr: 0.0608 0.0608 0.3052  1 Ge 3.30, 2 O 3.55
Sr: 0.2039 0.2039 0.8290  1 Ge 3.05
Sr: 0.3191 0.3191 0.5701  3 Ge 3.06-3.19
Sr: 0.4355 0.4355 0.2039  1 O 2.25
Sr: 0.5645 0.5645 0.7961  1 O 2.25
Sr: 0.6809 0.6809 0.4299  3 Ge 3.06-3.19
Sr: 0.7961 0.7961 0.1710  1 Ge 3.05
Sr: 0.9392 0.9392 0.6948  1 Ge 3.30, 2 O 3.55
Ge: 0.1956 0.1956 0.2652  5 Sr 3.05-3.30
Ge: 0.8044 0.8044 0.7348  5 Sr 3.05-3.30
O: 0.5000 0.5000 0.5000  2 Sr 2.25

---

VASP calculation (PBE-GGA) on an optimized crystal structure of InCu2W.

Output
**Space-group type**: Cmmm, No. 65
**Uncorrected energy**: -22.11 eV per formula unit
**Energy of formation from the pure elements**: 443 meV/atom

Cell lengths 4.9133, 4.9133, 2.7225 Å; angles 90.00, 90.00, 109.74 degrees
Closest atoms and distances in Å follow each position.
Element x y z (fractional)
In: 0.0000 0.0000 0.0000  2 In 2.72, 8 Cu 2.81, 2 W 2.83
Cu: 0.0000 0.5000 0.5000  4 Cu 2.72-2.83, 4 W 2.81, 4 In 2.81
Cu: 0.5000 0.0000 0.5000  4 Cu 2.72-2.83, 4 W 2.81, 4 In 2.81
W: 0.5000 0.5000 0.0000  2 W 2.72, 8 Cu 2.81, 2 In 2.83

---

VASP calculation (PBE-GGA) on an optimized crystal structure of Sr2Zn5Au12.

Output
**Space-group type**: R-3m, No. 166
**Uncorrected energy**: -55.90 eV per formula unit
**Energy of formation from the pure elements**: -360 meV/atom

Cell lengths 7.2488, 7.2488, 7.2488 Å; angles 82.49, 82.49, 82.49 degrees
Closest atoms and distances in Å follow each position.
Element x y z (fractional)
Sr: 0.1481 0.1481 0.1481  15 Au 3.35-3.72, 1 Zn 3.56
Sr: 0.8519 0.8519 0.8519  15 Au 3.35-3.72, 1 Zn 3.56
Zn: 0.0000 0.5000 0.5000  8 Au 2.68-2.77, 2 Zn 2.92
Zn: 0.4007 0.4007 0.4007  4 Zn 2.80-2.92, 3 Au 2.83
Zn: 0.5000 0.0000 0.5000  8 Au 2.68-2.77, 2 Zn 2.92
Zn: 0.5000 0.5000 0.0000  8 Au 2.68-2.77, 2 Zn 2.92
Zn: 0.5993 0.5993 0.5993  4 Zn 2.80-2.92, 3 Au 2.83
Au: 0.1634 0.1634 0.6321  3 Zn 2.68-2.83, 6 Au 2.86-2.96
Au: 0.1634 0.6321 0.1634  3 Zn 2.68-2.83, 6 Au 2.86-2.96
Au: 0.1965 0.5000 0.8035  2 Zn 2.77, 6 Au 2.86-2.93
Au: 0.1965 0.8035 0.5000  2 Zn 2.77, 6 Au 2.86-2.93
Au: 0.3679 0.8366 0.8366  3 Zn 2.68-2.83, 6 Au 2.86-2.96
Au: 0.5000 0.1965 0.8035  2 Zn 2.77, 6 Au 2.86-2.93
Au: 0.5000 0.8035 0.1965  2 Zn 2.77, 6 Au 2.86-2.93
Au: 0.6321 0.1634 0.1634  3 Zn 2.68-2.83, 6 Au 2.86-2.96
Au: 0.8035 0.1965 0.5000  2 Zn 2.77, 6 Au 2.86-2.93
Au: 0.8035 0.5000 0.1965  2 Zn 2.77, 6 Au 2.86-2.93
Au: 0.8366 0.3679 0.8366  3 Zn 2.68-2.83, 6 Au 2.86-2.96
Au: 0.8366 0.8366 0.3679  3 Zn 2.68-2.83, 6 Au 2.86-2.96

---

VASP calculation (PBE-GGA) on an optimized crystal structure of BeInC3.

Output
**Space-group type**: Pm-3m, No. 221
**Uncorrected energy**: -22.79 eV per formula unit
**Energy of formation from the pure elements**: 2270 meV/atom

Cell lengths 3.7540, 3.7540, 3.7540 Å; angles 90.00, 90.00, 90.00 degrees
Closest atoms and distances in Å follow each position.
Element x y z (fractional)
Be: 0.0000 0.0000 0.0000  6 C 1.88
In: 0.5000 0.5000 0.5000  12 C 2.65
C: 0.0000 0.0000 0.5000  2 Be 1.88
C: 0.0000 0.5000 0.0000  2 Be 1.88
C: 0.5000 0.0000 0.0000  2 Be 1.88

---

VASP calculation (PBE-GGA) on an optimized crystal structure of ZnAsRu2.

Output
**Space-group type**: Cm, No. 8
**Uncorrected energy**: -24.54 eV per formula unit
**Energy of formation from the pure elements**: -16 meV/atom

Cell lengths 4.8173, 4.8173, 4.4664 Å; angles 107.77, 107.77, 35.71 degrees
Closest atoms and distances in Å follow each position.
Element x y z (fractional)
Zn: 0.0000 0.0000 0.0000  7 Ru 2.51-2.70
As: 0.2299 0.2299 0.6199  7 Ru 2.56-2.80
Ru: 0.4869 0.4869 0.4963  3 As 2.58-2.59, 4 Zn 2.66-2.70, 2 Ru 2.78
Ru: 0.7456 0.7456 0.0983  3 Zn 2.51-2.61, 4 As 2.56-2.80, 2 Ru 2.78

---

VASP calculation (PBE-GGA) on an optimized crystal structure of Pr2SnAs3Pt4.

Output
**Space-group type**: P-4m2, No. 115
**Uncorrected energy**: -60.23 eV per formula unit
**Energy of formation from the pure elements**: -856 meV/atom

Cell lengths 4.3926, 4.3926, 10.6983 Å; angles 90.00, 90.00, 90.00 degrees
Closest atoms and distances in Å follow each position.
Element x y z (fractional)
Pr: 0.0000 0.5000 0.2314  6 As 3.30-3.62, 8 Pt 3.31-3.38, 2 Sn 3.62
Pr: 0.5000 0.0000 0.7686  6 As 3.30-3.62, 8 Pt 3.31-3.38, 2 Sn 3.62
Sn: 0.0000 0.0000 0.5000  4 Pt 2.68
As: 0.0000 0.5000 0.8717  5 Pt 2.45-2.59
As: 0.5000 0.0000 0.1283  5 Pt 2.45-2.59
As: 0.5000 0.5000 0.5000  4 Pt 2.68
Pt: 0.0000 0.0000 0.0000  4 As 2.59
Pt: 0.0000 0.5000 0.6431  3 As 2.45-2.68, 2 Sn 2.68
Pt: 0.5000 0.0000 0.3569  3 As 2.45-2.68, 2 Sn 2.68
Pt: 0.5000 0.5000 0.0000  4 As 2.59

---

VASP calculation (PBE-GGA) on an optimized crystal structure of CaPr5Pb5.

Output
**Space-group type**: C2/m, No. 12
**Uncorrected energy**: -47.90 eV per formula unit
**Energy of formation from the pure elements**: -315 meV/atom

Cell lengths 9.6180, 9.6180, 7.2202 Å; angles 106.96, 106.96, 36.62 degrees
Closest atoms and distances in Å follow each position.
Element x y z (fractional)
Ca: 0.0000 0.0000 0.0000  4 Pb 3.02-3.18
Pr: 0.0000 0.0000 0.5000  4 Pb 3.18-3.50
Pr: 0.3243 0.3243 0.7486  4 Pb 3.16-3.28
Pr: 0.3288 0.3288 0.2512  4 Pb 3.27-3.61, 2 Pr 3.60-3.62
Pr: 0.6712 0.6712 0.7488  4 Pb 3.27-3.61, 2 Pr 3.60-3.62
Pr: 0.6757 0.6757 0.2514  4 Pb 3.16-3.28
Pb: 0.1601 0.1601 0.4109  4 Pr 3.18-3.28, 1 Ca 3.47
Pb: 0.1608 0.1608 0.9158  1 Ca 3.18, 5 Pr 3.27-3.55
Pb: 0.5000 0.5000 0.0000  2 Ca 3.02, 2 Pr 3.16
Pb: 0.8392 0.8392 0.0842  1 Ca 3.18, 5 Pr 3.27-3.55
Pb: 0.8399 0.8399 0.5891  4 Pr 3.18-3.28, 1 Ca 3.47

---

VASP calculation (PBE-GGA) on an optimized crystal structure of BeTe2P.

Output
**Formation energy from raw total energies**: 0.03 eV/atom
**Space-group type**: P4mm, No. 99
**Uncorrected energy**: -15.30 eV per formula unit

Cell lengths 3.2325, 3.2325, 9.0715 Å; angles 90.00, 90.00, 90.00 degrees
Closest atoms and distances in Å follow each position.
Element x y z (fractional)
Be: 0.0000 0.0000 0.0000  4 P 2.34, 1 Te 2.44
Te: 0.0000 0.0000 0.2692  1 Be 2.44
Te: 0.5000 0.5000 0.6736  1 P 2.47
P: 0.5000 0.5000 0.9458  4 Be 2.34, 1 Te 2.47

---

VASP calculation (PBE-GGA) on an optimized crystal structure of SrZr2TaO8.

Output
**Formation energy from raw total energies**: -2.88 eV/atom
**Space-group type**: Cmmm, No. 65
**Uncorrected energy**: -104.91 eV per formula unit

Cell lengths 4.9989, 4.9989, 6.8201 Å; angles 90.00, 90.00, 92.22 degrees
Closest atoms and distances in Å follow each position.
Element x y z (fractional)
Sr: 0.0000 0.0000 0.0000  6 O 2.36-2.46
Zr: 0.5000 0.5000 0.2442  6 O 2.08-2.31
Zr: 0.5000 0.5000 0.7558  6 O 2.08-2.31
Ta: 0.0000 0.0000 0.5000  6 O 1.98-2.08
O: 0.2032 0.2032 0.2958  1 Ta 1.98, 1 Zr 2.09
O: 0.2032 0.2032 0.7042  1 Ta 1.98, 1 Zr 2.09
O: 0.2888 0.7112 0.5000  1 Ta 2.08, 2 Zr 2.31
O: 0.3281 0.6719 0.0000  2 Zr 2.08
O: 0.6719 0.3281 0.0000  2 Zr 2.08
O: 0.7112 0.2888 0.5000  1 Ta 2.08, 2 Zr 2.31
O: 0.7968 0.7968 0.2958  1 Ta 1.98, 1 Zr 2.09
O: 0.7968 0.7968 0.7042  1 Ta 1.98, 1 Zr 2.09

---

VASP calculation (PBE-GGA) on an optimized crystal structure of Cu5PbBr12.

Output
**Formation energy from raw total energies**: -0.34 eV/atom
**Space-group type**: P-1, No. 2
**Uncorrected energy**: -50.30 eV per formula unit

Cell lengths 6.2580, 6.9900, 13.5084 Å; angles 85.09, 88.81, 69.01 degrees
Closest atoms and distances in Å follow each position.
Element x y z (fractional)
Cu: 0.0000 0.0000 0.0000  4 Br 2.44-2.47
Cu: 0.1783 0.1277 0.4879  5 Br 2.44-2.71
Cu: 0.3333 0.3335 0.0001  4 Br 2.44-2.47
Cu: 0.6667 0.6665 0.9999  4 Br 2.44-2.47
Cu: 0.8217 0.8723 0.5121  5 Br 2.44-2.71
Pb: 0.5000 0.5000 0.5000  6 Br 3.04-3.11
Br: 0.0608 0.2767 0.8906  2 Cu 2.44-2.47
Br: 0.0703 0.5926 0.6249  1 Cu 2.44
Br: 0.1138 0.8377 0.3835  2 Cu 2.46-2.71
Br: 0.2730 0.0563 0.1094  2 Cu 2.44-2.47
Br: 0.3943 0.6096 0.8903  2 Cu 2.44-2.47
Br: 0.4766 0.8807 0.6094  2 Cu 2.49-2.55
Br: 0.5234 0.1193 0.3906  2 Cu 2.49-2.55
Br: 0.6057 0.3904 0.1097  2 Cu 2.44-2.47
Br: 0.7270 0.9437 0.8906  2 Cu 2.44-2.47
Br: 0.8862 0.1623 0.6165  2 Cu 2.46-2.71
Br: 0.9297 0.4074 0.3751  1 Cu 2.44
Br: 0.9392 0.7233 0.1094  2 Cu 2.44-2.47

---

VASP calculation (PBE-GGA) on an optimized crystal structure of Tb2NdSm2.

Output
**Space-group type**: Cmc2_1, No. 36
**Uncorrected energy**: -22.90 eV per formula unit
**Energy of formation from the pure elements**: 114 meV/atom

Cell lengths 6.8895, 6.8895, 13.4514 Å; angles 90.00, 90.00, 147.93 degrees
Closest atoms and distances in Å follow each position.
Element x y z (fractional)
Tb: 0.0990 0.9010 0.5000  2 Nd 3.30, 2 Tb 3.31, 4 Sm 3.32-3.63
Tb: 0.2650 0.7350 0.1502  2 Tb 3.31, 2 Sm 3.32, 2 Nd 3.49
Tb: 0.7350 0.2650 0.6502  2 Tb 3.31, 2 Sm 3.32, 2 Nd 3.49
Tb: 0.9010 0.0990 0.0000  2 Nd 3.30, 2 Tb 3.31, 4 Sm 3.32-3.63
Nd: 0.3953 0.6047 0.5010  4 Tb 3.30-3.49, 2 Sm 3.48
Nd: 0.6047 0.3953 0.0010  4 Tb 3.30-3.49, 2 Sm 3.48
Sm: 0.9999 0.0001 0.2488  5 Tb 3.59-3.88, 5 Sm 3.74-3.92
Sm: 0.0001 0.9999 0.7488  5 Tb 3.59-3.88, 5 Sm 3.74-3.92
Sm: 0.2630 0.7370 0.8502  4 Tb 3.32, 2 Nd 3.48
Sm: 0.7370 0.2630 0.3502  4 Tb 3.32, 2 Nd 3.48